(1)
# Ti2CoSn

A relaxed Ti2CoSn crystal (GGA-PBE, the Alexandria database).

a = 8.2496 Å, b = 8.2496 Å, c = 8.9947 Å
α = 90.00°, β = 90.00°, γ = 153.31°
Closest atoms and distances in Å follow each position.
Sites, in units of the cell vectors:
Ti  0.0627  0.9373  0.7500  2 Co 2.37, 1 Ti 2.61
Ti  0.0999  0.9001  0.2500  5 Ti 2.61-2.89, 2 Co 2.61
Ti  0.3024  0.6976  0.5820  3 Co 2.32-2.59
Ti  0.3024  0.6976  0.9180  3 Co 2.32-2.59
Ti  0.6976  0.3024  0.0820  3 Co 2.32-2.59
Ti  0.6976  0.3024  0.4180  3 Co 2.32-2.59
Ti  0.9001  0.0999  0.7500  5 Ti 2.61-2.89, 2 Co 2.61
Ti  0.9373  0.0627  0.2500  2 Co 2.37, 1 Ti 2.61
Co  0.1437  0.8563  0.5299  4 Ti 2.32-2.59
Co  0.1437  0.8563  0.9701  4 Ti 2.32-2.59
Co  0.8563  0.1437  0.0299  4 Ti 2.32-2.59
Co  0.8563  0.1437  0.4701  4 Ti 2.32-2.59
Sn  0.2996  0.7004  0.2500  4 Co 2.89, 9 Ti 2.92-3.21
Sn  0.5000  0.5000  0.0000  4 Co 3.00, 10 Ti 3.11-3.35
Sn  0.5000  0.5000  0.5000  4 Co 3.00, 10 Ti 3.11-3.35
Sn  0.7004  0.2996  0.7500  4 Co 2.89, 9 Ti 2.92-3.21

N(E_F) = 11.57 states/eV per cell
total DFT energy (no corrections) = -6.842 eV/atom
space-group type = Cmcm
formation enthalpy at 0 K = -0.12 eV/atom

---

(2)
# Ti2CoSn

A relaxed Ti2CoSn crystal (GGA-PBE, the Alexandria database).

a = 2.9275 Å, b = 2.9275 Å, c = 7.6311 Å
α = 90.00°, β = 90.00°, γ = 90.00°
Closest atoms and distances in Å follow each position.
Sites, in units of the cell vectors:
Ti  0.0000  0.0000  0.2039  4 Co 2.59
Ti  0.0000  0.0000  0.7961  4 Co 2.59
Co  0.5000  0.5000  0.0000  8 Ti 2.59
Sn  0.5000  0.5000  0.5000  4 Sn 2.93, 8 Ti 3.06

N(E_F) = 3.84 states/eV per cell
total DFT energy (no corrections) = -6.963 eV/atom
space-group type = P4/mmm
formation enthalpy at 0 K = -0.24 eV/atom

---

(3)
# Ti2CoSn

A relaxed Ti2CoSn crystal (GGA-PBE, the Alexandria database).

a = 7.1048 Å, b = 7.1048 Å, c = 5.5030 Å
α = 90.00°, β = 90.00°, γ = 90.00°
Closest atoms and distances in Å follow each position.
Sites, in units of the cell vectors:
Ti  0.1891  0.2500  0.1250  2 Co 2.33
Ti  0.2500  0.6891  0.3750  2 Co 2.33
Ti  0.2500  0.8109  0.8750  2 Co 2.33
Ti  0.3109  0.2500  0.6250  2 Co 2.33
Ti  0.6891  0.7500  0.6250  2 Co 2.33
Ti  0.7500  0.1891  0.8750  2 Co 2.33
Ti  0.7500  0.3109  0.3750  2 Co 2.33
Ti  0.8109  0.7500  0.1250  2 Co 2.33
Co  0.0000  0.0000  0.0000  4 Ti 2.33
Co  0.0000  0.5000  0.2500  4 Ti 2.33
Co  0.5000  0.0000  0.7500  4 Ti 2.33
Co  0.5000  0.5000  0.5000  4 Ti 2.33
Sn  0.0000  0.0000  0.5000  2 Co 2.75, 8 Ti 2.92-3.04
Sn  0.0000  0.5000  0.7500  2 Co 2.75, 8 Ti 2.92-3.04
Sn  0.5000  0.0000  0.2500  2 Co 2.75, 8 Ti 2.92-3.04
Sn  0.5000  0.5000  0.0000  2 Co 2.75, 8 Ti 2.92-3.04

N(E_F) = 21.25 states/eV per cell
total DFT energy (no corrections) = -6.740 eV/atom
space-group type = I-42d
formation enthalpy at 0 K = -0.02 eV/atom

---

(4)
# TiZnCoSn2

A relaxed TiZnCoSn2 crystal (GGA-PBE, the Alexandria database).

a = 4.7911 Å, b = 4.7911 Å, c = 4.5235 Å
α = 90.00°, β = 90.00°, γ = 90.00°
Closest atoms and distances in Å follow each position.
Sites, in units of the cell vectors:
Ti  0.0000  0.0000  0.0000  8 Sn 3.29, 4 Zn 3.39
Zn  0.5000  0.5000  0.0000  2 Co 2.26
Co  0.5000  0.5000  0.5000  2 Zn 2.26, 4 Sn 2.40
Sn  0.0000  0.5000  0.5000  2 Co 2.40
Sn  0.5000  0.0000  0.5000  2 Co 2.40

N(E_F) = 6.88 states/eV per cell
total DFT energy (no corrections) = -4.451 eV/atom
space-group type = P4/mmm
formation enthalpy at 0 K = 0.40 eV/atom

---

(5)
# Tl2Co2Sn

A relaxed Tl2Co2Sn crystal (GGA-PBE, the Alexandria database).

a = 4.2666 Å, b = 4.2666 Å, c = 11.5869 Å
α = 90.00°, β = 90.00°, γ = 90.00°
Closest atoms and distances in Å follow each position.
Sites, in units of the cell vectors:
Tl  0.0000  0.5000  0.2500  4 Co 2.79, 4 Tl 3.02
Tl  0.0000  0.5000  0.7500  4 Co 2.79, 4 Tl 3.02
Tl  0.5000  0.0000  0.2500  4 Co 2.79, 4 Tl 3.02
Tl  0.5000  0.0000  0.7500  4 Co 2.79, 4 Tl 3.02
Co  0.0000  0.0000  0.0942  1 Co 2.18
Co  0.0000  0.0000  0.9058  1 Co 2.18
Co  0.5000  0.5000  0.4058  1 Co 2.18
Co  0.5000  0.5000  0.5942  1 Co 2.18
Sn  0.0000  0.0000  0.5000  8 Co 3.21
Sn  0.5000  0.5000  0.0000  8 Co 3.21

N(E_F) = 19.03 states/eV per cell
total DFT energy (no corrections) = -3.952 eV/atom
space-group type = I4/mmm
polymorph energy (0 for the lowest one) = 1.174 eV per formula unit
formation enthalpy at 0 K = 0.64 eV/atom

---

(6)
# TlCoSn

A relaxed TlCoSn crystal (GGA-PBE, the Alexandria database).

a = 5.1524 Å, b = 5.1256 Å, c = 9.8368 Å
α = 90.00°, β = 95.76°, γ = 90.00°
Closest atoms and distances in Å follow each position.
Sites, in units of the cell vectors:
Tl  0.2286  0.0000  0.3895  1 Co 2.77
Tl  0.2714  0.5000  0.6105  1 Co 2.77
Tl  0.7286  0.5000  0.3895  1 Co 2.77
Tl  0.7714  0.0000  0.6105  1 Co 2.77
Co  0.1767  0.0000  0.1066  5 Sn 2.59-2.63, 1 Co 2.64, 1 Tl 2.77
Co  0.3233  0.5000  0.8934  5 Sn 2.59-2.63, 1 Co 2.64, 1 Tl 2.77
Co  0.6767  0.5000  0.1066  5 Sn 2.59-2.63, 1 Co 2.64, 1 Tl 2.77
Co  0.8233  0.0000  0.8934  5 Sn 2.59-2.63, 1 Co 2.64, 1 Tl 2.77
Sn  0.1853  0.5000  0.1432  5 Co 2.59-2.63
Sn  0.3147  0.0000  0.8568  5 Co 2.59-2.63
Sn  0.6853  0.0000  0.1432  5 Co 2.59-2.63
Sn  0.8147  0.5000  0.8568  5 Co 2.59-2.63

N(E_F) = 10.10 states/eV per cell
total DFT energy (no corrections) = -4.294 eV/atom
space-group type = C2/m
formation enthalpy at 0 K = 0.20 eV/atom

---

(7)
# Tl3CoSn

A relaxed Tl3CoSn crystal (GGA-PBE, the Alexandria database).

a = 5.1010 Å, b = 5.1010 Å, c = 5.1010 Å
α = 90.00°, β = 90.00°, γ = 90.00°
Closest atoms and distances in Å follow each position.
Sites, in units of the cell vectors:
Tl  0.0000  0.0000  0.5000  2 Co 2.55
Tl  0.0000  0.5000  0.0000  2 Co 2.55
Tl  0.5000  0.0000  0.0000  2 Co 2.55
Co  0.0000  0.0000  0.0000  6 Tl 2.55
Sn  0.5000  0.5000  0.5000  12 Tl 3.61

N(E_F) = 5.27 states/eV per cell
total DFT energy (no corrections) = -3.317 eV/atom
space-group type = Pm-3m
polymorph energy (0 for the lowest one) = 0.000 eV per formula unit
formation enthalpy at 0 K = 0.32 eV/atom

---

(8)
# Tl2CoSn2

A relaxed Tl2CoSn2 crystal (GGA-PBE, the Alexandria database).

a = 6.7633 Å, b = 6.7633 Å, c = 5.6354 Å
α = 90.00°, β = 90.00°, γ = 90.00°
Closest atoms and distances in Å follow each position.
Sites, in units of the cell vectors:
Tl  0.1756  0.3244  0.0000  2 Sn 3.20, 5 Tl 3.36-3.53
Tl  0.3244  0.8244  0.0000  2 Sn 3.20, 5 Tl 3.36-3.53
Tl  0.6756  0.1756  0.0000  2 Sn 3.20, 5 Tl 3.36-3.53
Tl  0.8244  0.6756  0.0000  2 Sn 3.20, 5 Tl 3.36-3.53
Co  0.0000  0.0000  0.5000  4 Sn 2.52
Co  0.5000  0.5000  0.5000  4 Sn 2.52
Sn  0.1662  0.6662  0.5000  2 Co 2.52
Sn  0.3338  0.1662  0.5000  2 Co 2.52
Sn  0.6662  0.8338  0.5000  2 Co 2.52
Sn  0.8338  0.3338  0.5000  2 Co 2.52

N(E_F) = 14.45 states/eV per cell
total DFT energy (no corrections) = -3.746 eV/atom
space-group type = P4/mbm
formation enthalpy at 0 K = 0.22 eV/atom

---

(9)
# Tl2CoSn

A relaxed Tl2CoSn crystal (GGA-PBE, the Alexandria database).

a = 10.0566 Å, b = 10.0566 Å, c = 4.8919 Å
α = 90.00°, β = 90.00°, γ = 90.00°
Closest atoms and distances in Å follow each position.
Sites, in units of the cell vectors:
Tl  0.0000  0.0000  0.0000  2 Co 2.59
Tl  0.0000  0.5000  0.0000  2 Co 2.59
Tl  0.2500  0.2500  0.7500  2 Co 2.59
Tl  0.2500  0.7500  0.2500  2 Co 2.59
Tl  0.5000  0.0000  0.5000  2 Co 2.59
Tl  0.5000  0.5000  0.5000  2 Co 2.59
Tl  0.7500  0.2500  0.7500  2 Co 2.59
Tl  0.7500  0.7500  0.2500  2 Co 2.59
Co  0.0000  0.2500  0.8750  2 Sn 2.45, 4 Tl 2.59
Co  0.0000  0.7500  0.1250  2 Sn 2.45, 4 Tl 2.59
Co  0.5000  0.2500  0.6250  2 Sn 2.45, 4 Tl 2.59
Co  0.5000  0.7500  0.3750  2 Sn 2.45, 4 Tl 2.59
Sn  0.0000  0.2500  0.3750  2 Co 2.45
Sn  0.0000  0.7500  0.6250  2 Co 2.45
Sn  0.5000  0.2500  0.1250  2 Co 2.45
Sn  0.5000  0.7500  0.8750  2 Co 2.45

N(E_F) = 16.35 states/eV per cell
total DFT energy (no corrections) = -3.699 eV/atom
space-group type = I4_1/amd
polymorph energy (0 for the lowest one) = 0.000 eV per formula unit
formation enthalpy at 0 K = 0.26 eV/atom

---

(10)
# Tl2CoSn

A relaxed Tl2CoSn crystal (GGA-PBE, the Alexandria database).

a = 7.2611 Å, b = 7.2611 Å, c = 7.2611 Å
α = 90.00°, β = 90.00°, γ = 90.00°
Closest atoms and distances in Å follow each position.
Sites, in units of the cell vectors:
Tl  0.2500  0.2500  0.2500  4 Sn 3.14, 4 Co 3.14
Tl  0.2500  0.2500  0.7500  4 Sn 3.14, 4 Co 3.14
Tl  0.2500  0.7500  0.2500  4 Sn 3.14, 4 Co 3.14
Tl  0.2500  0.7500  0.7500  4 Sn 3.14, 4 Co 3.14
Tl  0.7500  0.2500  0.2500  4 Sn 3.14, 4 Co 3.14
Tl  0.7500  0.2500  0.7500  4 Sn 3.14, 4 Co 3.14
Tl  0.7500  0.7500  0.2500  4 Sn 3.14, 4 Co 3.14
Tl  0.7500  0.7500  0.7500  4 Sn 3.14, 4 Co 3.14
Co  0.0000  0.0000  0.0000  8 Tl 3.14
Co  0.0000  0.5000  0.5000  8 Tl 3.14
Co  0.5000  0.0000  0.5000  8 Tl 3.14
Co  0.5000  0.5000  0.0000  8 Tl 3.14
Sn  0.0000  0.0000  0.5000  8 Tl 3.14
Sn  0.0000  0.5000  0.0000  8 Tl 3.14
Sn  0.5000  0.0000  0.0000  8 Tl 3.14
Sn  0.5000  0.5000  0.5000  8 Tl 3.14

N(E_F) = 20.61 states/eV per cell
total DFT energy (no corrections) = -3.334 eV/atom
space-group type = Fm-3m
polymorph energy (0 for the lowest one) = 1.460 eV per formula unit
formation enthalpy at 0 K = 0.63 eV/atom

---

(11)
# Tl2Co2Sn

A relaxed Tl2Co2Sn crystal (GGA-PBE, the Alexandria database).

a = 6.8122 Å, b = 6.8122 Å, c = 3.9722 Å
α = 90.00°, β = 90.00°, γ = 90.00°
Closest atoms and distances in Å follow each position.
Sites, in units of the cell vectors:
Tl  0.1601  0.3399  0.0000  6 Co 2.76-2.86, 1 Tl 3.09
Tl  0.3399  0.8399  0.0000  6 Co 2.76-2.86, 1 Tl 3.09
Tl  0.6601  0.1601  0.0000  6 Co 2.76-2.86, 1 Tl 3.09
Tl  0.8399  0.6601  0.0000  6 Co 2.76-2.86, 1 Tl 3.09
Co  0.1416  0.6416  0.5000  2 Sn 2.62, 1 Co 2.73, 6 Tl 2.76-2.86
Co  0.3584  0.1416  0.5000  2 Sn 2.62, 1 Co 2.73, 6 Tl 2.76-2.86
Co  0.6416  0.8584  0.5000  2 Sn 2.62, 1 Co 2.73, 6 Tl 2.76-2.86
Co  0.8584  0.3584  0.5000  2 Sn 2.62, 1 Co 2.73, 6 Tl 2.76-2.86
Sn  0.0000  0.0000  0.5000  4 Co 2.62
Sn  0.5000  0.5000  0.5000  4 Co 2.62

N(E_F) = 8.84 states/eV per cell
total DFT energy (no corrections) = -4.187 eV/atom
space-group type = P4/mbm
polymorph energy (0 for the lowest one) = 0.000 eV per formula unit
formation enthalpy at 0 K = 0.40 eV/atom

---

(12)
# TlV2CoSn

A relaxed TlV2CoSn crystal (GGA-PBE, the Alexandria database).

a = 5.1014 Å, b = 5.1014 Å, c = 4.6647 Å
α = 90.00°, β = 90.00°, γ = 90.00°
Closest atoms and distances in Å follow each position.
Sites, in units of the cell vectors:
Tl  0.0000  0.0000  0.0000  8 V 3.46, 4 Co 3.61
V  0.0000  0.5000  0.5000  2 Sn 2.55
V  0.5000  0.0000  0.5000  2 Sn 2.55
Co  0.5000  0.5000  0.0000  2 Sn 2.33
Sn  0.5000  0.5000  0.5000  2 Co 2.33, 4 V 2.55

N(E_F) = 10.42 states/eV per cell
total DFT energy (no corrections) = -5.047 eV/atom
space-group type = P4/mmm
formation enthalpy at 0 K = 1.30 eV/atom